No. 1
Here is CaNd2P2N6 after structural relaxation from Alexandria. Energies are from PBE.

space group: R-3m, No. 166
uncorrected formation energy: -0.87 eV per atom

Lattice parameters (Å, degrees): 5.571 5.571 6.946 66.36 66.36 60.00
Sites, in units of the cell vectors:
Nd1 0.799 0.799 0.604
N1 0.735 0.245 0.285
P1 0.426 0.426 0.721
N2 0.265 0.755 0.715
N3 0.245 0.735 0.285
N4 0.265 0.265 0.715
N5 0.735 0.735 0.285
P2 0.574 0.574 0.279
Nd2 0.201 0.201 0.396
N6 0.755 0.265 0.715
Ca1 0.000 0.000 0.000


No. 2
Here is CaNd2PaN4 after structural relaxation from Alexandria. Energies are from PBE.

space group: P2/m, No. 10
uncorrected formation energy: -1.43 eV per atom

Lattice parameters (Å, degrees): 3.608 6.125 6.199 108.69 90.00 90.00
Sites, in units of the cell vectors:
N1 0.000 0.776 0.232
N2 0.500 0.771 0.771
Nd1 0.500 0.000 0.500
Ca1 0.500 0.500 0.000
Nd2 0.000 0.500 0.500
N3 0.000 0.224 0.768
N4 0.500 0.229 0.229
Pa1 0.000 0.000 0.000


No. 3
Here is Ca2NdPaN4 after structural relaxation from Alexandria. Energies are from PBE.

space group: P2/m, No. 10
uncorrected formation energy: -1.40 eV per atom

Lattice parameters (Å, degrees): 3.603 6.209 6.115 109.70 90.00 90.00
Sites, in units of the cell vectors:
Ca1 0.000 0.500 0.500
N1 0.000 0.769 0.220
Ca2 0.500 0.000 0.500
N2 0.500 0.225 0.221
N3 0.500 0.775 0.779
Nd1 0.500 0.500 0.000
N4 0.000 0.231 0.780
Pa1 0.000 0.000 0.000


No. 4
Here is Ca3NdPa2N6 after structural relaxation from Alexandria. Energies are from PBE.

space group: C2/m, No. 12
uncorrected formation energy: -1.43 eV per atom

Lattice parameters (Å, degrees): 3.589 7.092 7.887 102.06 103.15 90.00
Sites, in units of the cell vectors:
N1 0.668 0.114 0.336
N2 0.677 0.560 0.354
N3 0.984 0.742 0.969
Nd1 0.500 0.000 0.000
Ca1 0.166 0.833 0.333
Pa1 0.835 0.670 0.670
Ca2 0.500 0.500 0.000
N4 0.323 0.440 0.646
N5 0.332 0.886 0.664
Ca3 0.834 0.167 0.667
N6 0.016 0.258 0.031
Pa2 0.165 0.330 0.330


No. 5
Here is CaNdPa2N4 after structural relaxation from Alexandria. Energies are from PBE.

space group: I-4m2, No. 119
uncorrected formation energy: -1.46 eV per atom

Lattice parameters (Å, degrees): 5.014 5.014 6.127 114.15 114.15 90.00
Sites, in units of the cell vectors:
N1 0.019 0.519 0.038
Pa1 0.000 0.000 0.000
N2 0.769 0.769 0.538
N3 0.481 0.981 0.962
N4 0.231 0.231 0.462
Nd1 0.750 0.250 0.500
Ca1 0.500 0.500 0.000
Pa2 0.250 0.750 0.500


No. 6
Here is Ca3Nd2PaN6 after structural relaxation from Alexandria. Energies are from PBE.

space group: C2/m, No. 12
uncorrected formation energy: -1.24 eV per atom

Lattice parameters (Å, degrees): 6.240 6.240 6.144 99.79 99.79 120.00
Each line ends with the local moment (μB).
Sites, in units of the cell vectors:
Nd1 0.333 0.667 0.000  -0.01
N1 0.924 0.615 0.772  0.10
N2 0.385 0.076 0.228  0.10
N3 0.615 0.924 0.772  0.10
N4 0.076 0.385 0.228  0.10
Pa1 0.000 0.000 0.000  0.05
Ca1 0.836 0.164 0.500  0.01
Ca2 0.500 0.500 0.500  0.01
N5 0.767 0.767 0.222  0.09
N6 0.233 0.233 0.778  0.09
Nd2 0.667 0.333 0.000  -0.01
Ca3 0.164 0.836 0.500  0.01


No. 7
Here is CaNd3Pa2N6 after structural relaxation from Alexandria. Energies are from PBE.

space group: C2/m, No. 12
uncorrected formation energy: -1.48 eV per atom

Lattice parameters (Å, degrees): 3.589 7.173 7.982 103.79 102.99 90.00
Sites, in units of the cell vectors:
N1 0.327 0.438 0.655
Pa1 0.164 0.327 0.328
N2 0.666 0.110 0.332
N3 0.016 0.261 0.032
Ca1 0.500 0.000 0.000
N4 0.334 0.890 0.668
N5 0.673 0.562 0.345
Nd1 0.500 0.500 0.000
N6 0.984 0.739 0.968
Pa2 0.836 0.673 0.672
Nd2 0.166 0.836 0.331
Nd3 0.834 0.164 0.669


No. 8
Here is CaNd2PbN after structural relaxation from Alexandria. Energies are from PBE.

space group: P4/mmm, No. 123
uncorrected formation energy: -0.88 eV per atom

Lattice parameters (Å, degrees): 4.919 5.044 5.044 90.00 90.00 90.00
Sites, in units of the cell vectors:
N1 0.000 0.000 0.000
Pb1 0.500 0.500 0.500
Nd1 0.000 0.000 0.500
Nd2 0.000 0.500 0.000
Ca1 0.500 0.000 0.000


No. 9
Here is CaNdPu2N4 after structural relaxation from Alexandria. Energies are from PBE.

space group: Fmm2, No. 42
uncorrected formation energy: -1.17 eV per atom

Lattice parameters (Å, degrees): 5.047 5.047 6.048 114.81 114.81 89.68
Each line ends with the local moment (μB).
Sites, in units of the cell vectors:
Pu1 0.196 0.696 0.500  4.64
N1 0.163 0.163 0.499  -0.21
Ca1 0.444 0.444 0.000  0.03
Pu2 0.696 0.196 0.500  4.64
N2 0.445 0.941 0.000  -0.20
N3 0.664 0.664 0.501  -0.21
N4 0.941 0.445 0.000  -0.20
Nd1 0.947 0.947 0.000  0.12


No. 10
Here is CaNd2RuN4 after structural relaxation from Alexandria. Energies are from PBE.

space group: Cmcm, No. 63
uncorrected formation energy: -0.70 eV per atom

Lattice parameters (Å, degrees): 3.527 6.407 11.986 90.00 90.00 105.98
Sites, in units of the cell vectors:
Ca1 0.866 0.732 0.250
Nd1 0.631 0.263 0.466
N1 0.261 0.522 0.132
N2 0.421 0.841 0.750
Ca2 0.134 0.268 0.750
N3 0.739 0.478 0.868
Ru1 0.148 0.295 0.250
N4 0.739 0.478 0.632
N5 0.000 0.000 0.500
Nd2 0.631 0.263 0.034
N6 0.261 0.522 0.368
Ru2 0.852 0.705 0.750
N7 0.579 0.159 0.250
Nd3 0.369 0.737 0.966
N8 0.000 0.000 0.000
Nd4 0.369 0.737 0.534


No. 11
Here is Ca2Nd4Sb3N2 after structural relaxation from Alexandria. Energies are from PBE.

space group: I4/mmm, No. 139
uncorrected formation energy: -1.11 eV per atom

Lattice parameters (Å, degrees): 4.899 4.899 13.160 100.73 100.73 90.00
Sites, in units of the cell vectors:
Nd1 0.413 0.913 0.826
N1 0.398 0.398 0.797
Nd2 0.087 0.587 0.174
N2 0.602 0.602 0.203
Sb1 0.178 0.178 0.356
Ca1 0.305 0.305 0.610
Sb2 0.000 0.000 0.000
Ca2 0.695 0.695 0.390
Nd3 0.587 0.087 0.174
Sb3 0.822 0.822 0.644
Nd4 0.913 0.413 0.826


No. 12
Here is CaNdSbN after structural relaxation from Alexandria. Energies are from PBE.

space group: P4/nmm, No. 129
uncorrected formation energy: -0.95 eV per atom

Lattice parameters (Å, degrees): 4.654 4.654 9.166 90.00 90.00 90.00
Sites, in units of the cell vectors:
Sb1 0.500 0.000 0.188
Ca1 0.000 0.000 0.500
N1 0.000 0.500 0.416
N2 0.500 0.000 0.584
Nd1 0.500 0.000 0.821
Sb2 0.000 0.500 0.812
Ca2 0.500 0.500 0.500
Nd2 0.000 0.500 0.179


No. 13
Here is CaNdSiN3 after structural relaxation from Alexandria. Energies are from PBE.

space group: C2/m, No. 12
uncorrected formation energy: -0.92 eV per atom

Lattice parameters (Å, degrees): 3.797 6.600 7.103 105.75 90.00 106.72
Sites, in units of the cell vectors:
N1 0.850 0.700 0.176
Nd1 0.350 0.700 0.919
N2 0.497 0.994 0.246
Si1 0.999 0.998 0.254
Ca1 0.350 0.699 0.429
N3 0.147 0.293 0.325
Ca2 0.650 0.301 0.571
Si2 0.001 0.002 0.746
N4 0.853 0.707 0.675
Nd2 0.650 0.300 0.081
N5 0.150 0.300 0.824
N6 0.503 0.006 0.754


No. 14
Here is CaNd2SnN after structural relaxation from Alexandria. Energies are from PBE.

space group: P4/mmm, No. 123
uncorrected formation energy: -0.96 eV per atom

Lattice parameters (Å, degrees): 4.879 5.023 5.023 90.00 90.00 90.00
Sites, in units of the cell vectors:
Nd1 0.000 0.000 0.500
Sn1 0.500 0.500 0.500
N1 0.000 0.000 0.000
Nd2 0.000 0.500 0.000
Ca1 0.500 0.000 0.000


No. 15
Here is Ca2NdSnN after structural relaxation from Alexandria. Energies are from PBE.

space group: P4/mmm, No. 123
uncorrected formation energy: -0.97 eV per atom

Lattice parameters (Å, degrees): 5.048 4.880 4.880 90.00 90.00 90.00
Sites, in units of the cell vectors:
Ca1 0.000 0.500 0.000
Nd1 0.500 0.000 0.000
Sn1 0.500 0.500 0.500
N1 0.000 0.000 0.000
Ca2 0.000 0.000 0.500


No. 16
Here is CaNd12Sn4N3 after structural relaxation from Alexandria. Energies are from PBE.

space group: Im-3m, No. 229
uncorrected formation energy: -0.52 eV per atom

Lattice parameters (Å, degrees): 8.855 8.855 8.855 109.47 109.47 109.47
Sites, in units of the cell vectors:
Sn1 0.500 0.500 0.500
N1 0.000 0.500 0.500
Nd1 0.500 0.250 0.750
Nd2 0.728 0.000 0.728
Nd3 0.272 0.272 0.000
N2 0.500 0.500 0.000
Sn2 0.000 0.000 0.500
Nd4 0.000 0.272 0.272
Nd5 0.272 0.000 0.272
Nd6 0.750 0.250 0.500
Nd7 0.750 0.500 0.250
Ca1 0.000 0.000 0.000
Sn3 0.500 0.000 0.000
Nd8 0.250 0.750 0.500
Nd9 0.250 0.500 0.750
Sn4 0.000 0.500 0.000
N3 0.500 0.000 0.500
Nd10 0.500 0.750 0.250
Nd11 0.728 0.728 0.000
Nd12 0.000 0.728 0.728


No. 17
Here is CaNd2TcN4 after structural relaxation from Alexandria. Energies are from PBE.

space group: Cmcm, No. 63
uncorrected formation energy: -0.79 eV per atom

Lattice parameters (Å, degrees): 3.548 6.376 12.074 90.00 90.00 106.15
Each line ends with the local moment (μB).
Sites, in units of the cell vectors:
N1 0.260 0.520 0.132  0.04
Tc1 0.849 0.697 0.750  0.38
N2 0.740 0.480 0.868  0.04
N3 0.260 0.520 0.368  0.04
N4 0.740 0.480 0.632  0.04
Nd1 0.631 0.262 0.465  0.01
Ca1 0.873 0.746 0.250  0.02
N5 0.420 0.839 0.750  0.00
N6 0.000 0.000 0.500  0.02
N7 0.580 0.161 0.250  0.00
Nd2 0.369 0.738 0.965  0.01
Tc2 0.151 0.303 0.250  0.38
Nd3 0.369 0.738 0.535  0.01
N8 0.000 0.000 0.000  0.02
Nd4 0.631 0.262 0.035  0.01
Ca2 0.127 0.254 0.750  0.02


No. 18
Here is CaNdTc2N4 after structural relaxation from Alexandria. Energies are from PBE.

space group: I4/mmm, No. 139
uncorrected formation energy: -0.70 eV per atom

Lattice parameters (Å, degrees): 5.603 5.196 5.196 65.25 57.38 57.38
Sites, in units of the cell vectors:
N1 0.000 0.000 0.500
N2 0.500 0.000 0.500
Tc1 0.750 0.750 0.750
N3 0.500 0.500 0.000
Tc2 0.250 0.250 0.250
Ca1 0.500 0.500 0.500
Nd1 0.000 0.000 0.000
N4 0.000 0.500 0.000


No. 19
Here is CaNdTcN3 after structural relaxation from Alexandria. Energies are from PBE.

space group: P2_1/m, No. 11
uncorrected formation energy: -0.68 eV per atom

Lattice parameters (Å, degrees): 3.514 7.527 8.312 99.01 90.00 90.00
Sites, in units of the cell vectors:
Ca1 0.250 0.166 0.137
Nd1 0.250 0.614 0.169
Tc1 0.750 0.946 0.384
N1 0.250 0.078 0.839
Nd2 0.750 0.386 0.831
N2 0.750 0.167 0.557
N3 0.250 0.604 0.881
N4 0.750 0.922 0.161
N5 0.750 0.396 0.119
N6 0.250 0.833 0.443
Tc2 0.250 0.054 0.616
Ca2 0.750 0.834 0.863


No. 20
Here is CaNd3Th2N6 after structural relaxation from Alexandria. Energies are from PBE.

space group: C2/m, No. 12
uncorrected formation energy: -1.43 eV per atom

Lattice parameters (Å, degrees): 3.662 7.305 8.107 103.28 103.05 90.00
Sites, in units of the cell vectors:
N1 0.331 0.906 0.662
Nd1 0.500 0.500 0.000
Th1 0.164 0.326 0.327
N2 0.995 0.740 0.989
N3 0.005 0.260 0.011
N4 0.330 0.425 0.661
Th2 0.836 0.674 0.673
Ca1 0.500 0.000 0.000
N5 0.669 0.094 0.338
Nd2 0.163 0.836 0.326
Nd3 0.837 0.164 0.674
N6 0.670 0.575 0.339